[1]
This record from Alexandria describes a geometry-optimized CaReNi2 structure. The functional is GGA-PBEsol.

## Properties
Energy above the lowest structure with this stoichiometry ... 0.70 eV per formula unit
M_tot ... 0.0 μB per formula unit
Raw total energy ... -6.4253 eV per atom
Formation energy from the elements ... 2.079 eV/f.u.

Structure (POSCAR):
```
CaReNi2
1.0
1.387 0.801 8.709
-1.387 0.801 8.709
0.000 -1.602 8.709
Ca Re Ni
1 1 2
direct
0.000 0.000 0.000 Ca
0.500 0.500 0.500 Re
0.243 0.243 0.243 Ni
0.757 0.757 0.757 Ni
```

[2]
This record from Alexandria describes a geometry-optimized LiVF6 structure. The functional is GGA-PBEsol.

## Properties
M_tot ... 0.0 μB per formula unit
Raw total energy ... -5.7251 eV per atom
ΔE_f (raw) ... -22.63 eV per formula unit

Structure (POSCAR):
```
LiVF6
1.0
5.263 0.000 0.000
0.000 8.963 0.000
-2.628 0.000 4.656
Li V F
2 2 12
direct
0.085 0.000 0.169 Li
0.915 0.500 0.831 Li
0.413 0.219 0.822 V
0.587 0.719 0.178 V
0.126 0.352 0.728 F
0.216 0.086 0.913 F
0.228 0.148 0.460 F
0.302 0.586 0.094 F
0.399 0.852 0.279 F
0.406 0.783 0.825 F
0.594 0.283 0.175 F
0.601 0.352 0.721 F
0.698 0.086 0.906 F
0.772 0.648 0.540 F
0.784 0.586 0.087 F
0.874 0.852 0.272 F
```

[3]
This record from Alexandria describes a geometry-optimized Ba2TaTl structure. The functional is GGA-PBEsol.

## Properties
Energy above the lowest structure with this stoichiometry ... 0.00 eV per formula unit
M_tot ... 0.0 μB per formula unit
Raw total energy ... -4.1917 eV per atom
Formation energy from the elements ... 2.712 eV/f.u.

Structure (POSCAR):
```
Ba2TaTl
1.0
1.756 1.014 11.601
-1.756 1.014 11.601
0.000 -2.028 11.601
Ba Ta Tl
2 1 1
direct
0.000 0.000 0.000 Ba
0.222 0.222 0.222 Ba
0.479 0.479 0.479 Ta
0.749 0.749 0.749 Tl
```

[4]
This record from Alexandria describes a geometry-optimized Na3Hg2 structure. The functional is GGA-PBEsol.

## Properties
M_tot ... 0.0 μB per formula unit
Raw total energy ... -1.2351 eV per atom
Formation energy from the elements ... -0.843 eV/f.u.

Structure (POSCAR):
```
Na3Hg2
1.0
8.667 0.000 0.000
0.000 8.667 0.000
0.000 0.000 7.083
Na Hg
12 8
direct
0.000 0.500 0.000 Na
0.000 0.500 0.500 Na
0.139 0.139 0.000 Na
0.186 0.186 0.500 Na
0.314 0.686 0.000 Na
0.361 0.639 0.500 Na
0.500 0.000 0.000 Na
0.500 0.000 0.500 Na
0.639 0.361 0.500 Na
0.686 0.314 0.000 Na
0.814 0.814 0.500 Na
0.861 0.861 0.000 Na
0.131 0.869 0.295 Hg
0.131 0.869 0.705 Hg
0.369 0.369 0.205 Hg
0.369 0.369 0.795 Hg
0.631 0.631 0.205 Hg
0.631 0.631 0.795 Hg
0.869 0.131 0.295 Hg
0.869 0.131 0.705 Hg
```

[5]
This record from Alexandria describes a geometry-optimized CuTe2Br structure. The functional is GGA-PBEsol.

## Properties
M_tot ... 0.0 μB per formula unit
Raw total energy ... -3.4727 eV per atom
ΔE_f (raw) ... -0.63 eV per formula unit

Structure (POSCAR):
```
CuTe2Br
1.0
8.293 0.000 0.000
0.000 4.941 0.000
-5.451 0.000 10.847
Cu Te Br
4 8 4
direct
0.182 0.139 0.250 Cu
0.182 0.361 0.750 Cu
0.818 0.639 0.250 Cu
0.818 0.861 0.750 Cu
0.269 0.010 0.637 Te
0.269 0.490 0.137 Te
0.420 0.712 0.861 Te
0.420 0.788 0.361 Te
0.580 0.212 0.639 Te
0.580 0.288 0.139 Te
0.731 0.510 0.863 Te
0.731 0.990 0.363 Te
0.091 0.108 0.885 Br
0.091 0.392 0.385 Br
0.909 0.608 0.615 Br
0.909 0.892 0.115 Br
```

[6]
This record from Alexandria describes a geometry-optimized LiPt2Cl structure. The functional is GGA-PBEsol.

## Properties
Energy above the lowest structure with this stoichiometry ... 0.00 eV per formula unit
M_tot ... 0.0 μB per formula unit
Raw total energy ... -4.7309 eV per atom
ΔE_f (raw) ... -1.02 eV per formula unit

Structure (POSCAR):
```
LiPt2Cl
1.0
3.582 0.000 0.000
0.000 3.582 0.000
0.000 0.000 5.209
Li Pt Cl
1 2 1
direct
0.000 0.000 0.000 Li
0.000 0.000 0.493 Pt
0.500 0.500 0.414 Pt
0.500 0.500 0.931 Cl
```

[7]
This record from Alexandria describes a geometry-optimized AgHgIr2 structure. The functional is GGA-PBEsol.

## Properties
M_tot ... 0.4 μB per formula unit
Raw total energy ... -5.2851 eV per atom
Formation energy from the elements ... 2.384 eV/f.u.

Structure (POSCAR):
```
AgHgIr2
1.0
-1.957 1.957 4.171
1.957 -1.957 4.171
1.957 1.957 -4.171
Ag Hg Ir
1 1 2
direct
0.000 0.000 0.000 Ag
0.500 0.500 0.000 Hg
0.250 0.750 0.500 Ir
0.750 0.250 0.500 Ir
```

[8]
This record from Alexandria describes a geometry-optimized PPdCl3 structure. The functional is GGA-PBEsol.

## Properties
Energy above the lowest structure with this stoichiometry ... 0.00 eV per formula unit
M_tot ... 0.5 μB per formula unit
Raw total energy ... -3.2816 eV per atom
ΔE_f (raw) ... 1.37 eV per formula unit

Structure (POSCAR):
```
PPdCl3
1.0
4.678 0.000 0.000
0.000 4.678 0.000
0.000 0.000 4.678
P Pd Cl
1 1 3
direct
0.000 0.000 0.000 P
0.500 0.500 0.500 Pd
0.000 0.000 0.500 Cl
0.000 0.500 0.000 Cl
0.500 0.000 0.000 Cl
```

[9]
This record from Alexandria describes a geometry-optimized TlCoPt structure. The functional is GGA-PBEsol.

## Properties
Energy above the lowest structure with this stoichiometry ... 0.00 eV per formula unit
M_tot ... 1.8 μB per formula unit
Raw total energy ... -5.4853 eV per atom
Formation energy from the elements ... 0.875 eV/f.u.

Structure (POSCAR):
```
TlCoPt
1.0
-1.462 1.462 5.591
1.462 -1.462 5.591
1.462 1.462 -5.591
Tl Co Pt
1 1 1
direct
0.000 0.000 0.000 Tl
0.672 0.672 0.000 Co
0.306 0.306 0.000 Pt
```

[10]
This record from Alexandria describes a geometry-optimized Sr2CaTi3O9 structure. The functional is GGA-PBEsol.

## Properties
Energy above the lowest structure with this stoichiometry ... 0.01 eV per formula unit
M_tot ... 0.0 μB per formula unit
Raw total energy ... -8.3904 eV per atom
ΔE_f (raw) ... -47.83 eV per formula unit

Structure (POSCAR):
```
Sr2CaTi3O9
1.0
5.490 0.000 0.000
0.008 9.471 0.000
0.015 0.068 13.418
Sr Ca Ti O
8 4 12 36
direct
0.000 0.000 0.000 Sr
0.000 0.335 0.331 Sr
0.002 0.668 0.666 Sr
0.480 0.503 0.001 Sr
0.480 0.835 0.333 Sr
0.503 0.167 0.165 Sr
0.504 0.501 0.498 Sr
0.505 0.833 0.831 Sr
0.456 0.170 0.667 Ca
0.958 0.334 0.831 Ca
0.962 0.000 0.498 Ca
0.965 0.666 0.164 Ca
0.481 0.170 0.913 Ti
0.482 0.497 0.749 Ti
0.484 0.167 0.419 Ti
0.484 0.502 0.248 Ti
0.485 0.833 0.083 Ti
0.485 0.839 0.583 Ti
0.984 0.003 0.746 Ti
0.984 0.330 0.582 Ti
0.987 0.333 0.080 Ti
0.987 0.668 0.415 Ti
0.987 0.999 0.249 Ti
0.988 0.666 0.914 Ti
0.005 0.146 0.643 O
0.007 0.517 0.515 O
0.007 0.852 0.847 O
0.010 0.182 0.181 O
0.219 0.123 0.828 O
0.219 0.401 0.690 O
0.224 0.451 0.163 O
0.225 0.737 0.020 O
0.226 0.070 0.356 O
0.227 0.787 0.497 O
0.268 0.581 0.346 O
0.269 0.248 0.013 O
0.269 0.605 0.835 O
0.269 0.937 0.168 O
0.276 0.917 0.681 O
0.277 0.273 0.504 O
0.483 0.321 0.319 O
0.485 0.653 0.652 O
0.485 0.988 0.984 O
0.523 0.353 0.850 O
0.525 0.024 0.522 O
0.526 0.683 0.181 O
0.722 0.098 0.814 O
0.722 0.390 0.668 O
0.733 0.065 0.337 O
0.733 0.425 0.156 O
0.734 0.735 0.001 O
0.734 0.765 0.488 O
0.763 0.932 0.154 O
0.764 0.564 0.338 O
0.767 0.228 0.002 O
0.767 0.597 0.819 O
0.771 0.893 0.670 O
0.772 0.265 0.484 O
0.990 0.483 0.981 O
0.994 0.815 0.313 O
```

[11]
This record from Alexandria describes a geometry-optimized MgPb4Se structure. The functional is GGA-PBEsol.

## Properties
M_tot ... 0.0 μB per formula unit
Raw total energy ... -3.3865 eV per atom
ΔE_f (raw) ... 1.24 eV per formula unit

Structure (POSCAR):
```
MgPb4Se
1.0
0.000 4.465 4.465
4.465 0.000 4.465
4.465 4.465 0.000
Mg Pb Se
1 4 1
direct
0.000 0.000 0.000 Mg
0.124 0.625 0.625 Pb
0.625 0.124 0.625 Pb
0.625 0.625 0.124 Pb
0.625 0.625 0.625 Pb
0.250 0.250 0.250 Se
```

[12]
This record from Alexandria describes a geometry-optimized PtRh2Br structure. The functional is GGA-PBEsol.

## Properties
M_tot ... 0.0 μB per formula unit
Raw total energy ... -5.5661 eV per atom
ΔE_f (raw) ... 2.85 eV per formula unit

Structure (POSCAR):
```
PtRh2Br
1.0
-1.990 1.990 3.851
1.990 -1.990 3.851
1.990 1.990 -3.851
Pt Rh Br
1 2 1
direct
0.000 0.000 0.000 Pt
0.500 0.500 0.000 Rh
0.750 0.250 0.500 Rh
0.250 0.750 0.500 Br
```

[13]
This record from Alexandria describes a geometry-optimized Tl2MoRu structure. The functional is GGA-PBEsol.

## Properties
Energy above the lowest structure with this stoichiometry ... 1.20 eV per formula unit
M_tot ... 0.0 μB per formula unit
Raw total energy ... -6.1494 eV per atom
Formation energy from the elements ... 2.603 eV/f.u.

Structure (POSCAR):
```
Tl2MoRu
1.0
-1.459 2.362 5.566
1.459 -2.362 5.566
1.459 2.362 -5.566
Tl Mo Ru
2 1 1
direct
0.000 0.000 0.000 Tl
0.709 0.209 0.500 Tl
0.278 0.778 0.500 Mo
0.463 0.463 0.000 Ru
```

[14]
This record from Alexandria describes a geometry-optimized CoCu2Os structure. The functional is GGA-PBEsol.

## Properties
Energy above the lowest structure with this stoichiometry ... 0.00 eV per formula unit
M_tot ... 1.2 μB per formula unit
Raw total energy ... -6.9615 eV per atom
Formation energy from the elements ... 0.775 eV/f.u.

Structure (POSCAR):
```
CoCu2Os
1.0
1.301 0.751 8.218
-1.301 0.751 8.218
0.000 -1.502 8.218
Co Cu Os
1 2 1
direct
0.000 0.000 0.000 Co
0.497 0.497 0.497 Cu
0.749 0.749 0.749 Cu
0.253 0.253 0.253 Os
```

[15]
This record from Alexandria describes a geometry-optimized Zr2Zn structure. The functional is GGA-PBEsol.

## Properties
M_tot ... 0.0 μB per formula unit
Raw total energy ... -6.7587 eV per atom
Formation energy from the elements ... -0.515 eV/f.u.

Structure (POSCAR):
```
Zr2Zn
1.0
-1.618 1.618 5.613
1.618 -1.618 5.613
1.618 1.618 -5.613
Zr Zn
2 1
direct
0.156 0.156 0.000 Zr
0.844 0.844 0.000 Zr
0.500 0.500 0.000 Zn
```

[16]
This record from Alexandria describes a geometry-optimized Tl2TcBr structure. The functional is GGA-PBEsol.

## Properties
M_tot ... 2.3 μB per formula unit
Raw total energy ... -3.9182 eV per atom
ΔE_f (raw) ... 2.72 eV per formula unit

Structure (POSCAR):
```
Tl2TcBr
1.0
3.349 0.000 0.000
0.000 5.109 0.000
-0.623 0.000 5.357
Tl Tc Br
2 1 1
direct
0.174 0.000 0.262 Tl
0.826 0.000 0.738 Tl
0.500 0.500 0.500 Tc
0.500 0.500 0.000 Br
```

[17]
This record from Alexandria describes a geometry-optimized YNiIN2 structure. The functional is GGA-PBEsol.

## Properties
M_tot ... 1.6 μB per formula unit
Raw total energy ... -5.1906 eV per atom
ΔE_f (raw) ... 5.85 eV per formula unit

Structure (POSCAR):
```
YNiIN2
1.0
4.085 0.000 0.000
0.000 4.085 0.000
0.000 0.000 6.325
Y Ni I N
1 1 1 2
direct
0.000 0.000 0.000 Y
0.000 0.000 0.500 Ni
0.500 0.500 0.500 I
0.000 0.500 0.000 N
0.500 0.000 0.000 N
```

[18]
This record from Alexandria describes a geometry-optimized LiFePO4 structure. The functional is GGA-PBEsol.

## Properties
Energy above the lowest structure with this stoichiometry ... 0.48 eV per formula unit
M_tot ... 4.0 μB per formula unit
Raw total energy ... -7.2314 eV per atom
ΔE_f (raw) ... -12.90 eV per formula unit

Structure (POSCAR):
```
LiFePO4
1.0
7.476 0.000 0.000
0.000 7.991 0.000
0.000 0.000 5.202
Li Fe P O
4 4 4 16
direct
0.064 0.190 0.000 Li
0.436 0.690 0.500 Li
0.564 0.310 0.000 Li
0.936 0.810 0.500 Li
0.176 0.403 0.492 Fe
0.324 0.903 0.992 Fe
0.676 0.097 0.492 Fe
0.824 0.597 0.992 Fe
0.249 0.021 0.515 P
0.251 0.521 0.015 P
0.749 0.479 0.515 P
0.751 0.979 0.015 P
0.056 0.525 0.123 O
0.133 0.011 0.761 O
0.204 0.174 0.345 O
0.227 0.858 0.355 O
0.273 0.358 0.855 O
0.296 0.674 0.845 O
0.367 0.511 0.261 O
0.444 0.025 0.623 O
0.556 0.975 0.123 O
0.633 0.489 0.761 O
0.704 0.326 0.345 O
0.727 0.642 0.355 O
0.773 0.142 0.855 O
0.796 0.826 0.845 O
0.867 0.989 0.261 O
0.944 0.475 0.623 O
```

[19]
This record from Alexandria describes a geometry-optimized Ag3Rh structure. The functional is GGA-PBEsol.

## Properties
M_tot ... 0.5 μB per formula unit
Raw total energy ... -4.2874 eV per atom
Formation energy from the elements ... 0.922 eV/f.u.

Structure (POSCAR):
```
Ag3Rh
1.0
2.700 0.000 0.000
0.000 4.667 0.000
-0.385 0.000 5.022
Ag Rh
3 1
direct
0.000 0.000 0.000 Ag
0.238 0.500 0.746 Ag
0.762 0.500 0.254 Ag
0.500 0.000 0.500 Rh
```

[20]
This record from Alexandria describes a geometry-optimized BaTl2Rh structure. The functional is GGA-PBEsol.

## Properties
M_tot ... 0.0 μB per formula unit
Raw total energy ... -4.0067 eV per atom
Formation energy from the elements ... -0.479 eV/f.u.

Structure (POSCAR):
```
BaTl2Rh
1.0
3.524 0.000 0.000
0.000 3.524 0.000
0.000 0.000 7.909
Ba Tl Rh
1 2 1
direct
0.000 0.000 0.000 Ba
0.500 0.500 0.312 Tl
0.500 0.500 0.688 Tl
0.000 0.000 0.500 Rh
```